# 1
VASP calculation (meta-GGA SCAN) on a crystal of PuGa2 relaxed with PBEsol.

Output
Its space-group type is No. 191. Its total energy is -3.520 Ry per atom. As for the formation energy: -6.346 kcal/mol of atoms.

Cell lengths 3.238, 4.517, 4.517 Å; angles 120.00, 90.00, 90.00 degrees
Last column: magnetic moment on the atom in μB.
Fractional coordinates of all 3 atoms:
Ga 0.000 0.667 0.333  -0.01
Ga 0.000 0.333 0.667  -0.01
Pu 0.500 0.000 0.000  5.37



# 2
VASP calculation (meta-GGA SCAN) on a crystal of RbGa7 relaxed with PBEsol.

Output
Its space-group type is No. 166. Its total energy is -1.254 Ry per atom. As for the formation energy: -3.679 kcal/mol of atoms.

Cell lengths 6.592, 6.592, 10.141 Å; angles 71.03, 71.03, 60.00 degrees
Fractional coordinates of all 16 atoms:
Rb 0.195 0.195 0.414
Rb 0.805 0.805 0.586
Ga 0.456 0.456 0.633
Ga 0.544 0.544 0.367
Ga 0.580 0.182 0.057
Ga 0.182 0.580 0.057
Ga 0.182 0.182 0.057
Ga 0.818 0.818 0.943
Ga 0.420 0.818 0.943
Ga 0.818 0.420 0.943
Ga 0.798 0.217 0.768
Ga 0.217 0.798 0.768
Ga 0.217 0.217 0.768
Ga 0.783 0.783 0.232
Ga 0.202 0.783 0.232
Ga 0.783 0.202 0.232



# 3
VASP calculation (meta-GGA SCAN) on a crystal of RbGaRu3 relaxed with PBEsol.

Output
Its space-group type is No. 221. Its total energy is -1.974 Ry per atom. As for the formation energy: 33.580 kcal/mol of atoms.

Cell lengths 4.687, 4.687, 4.687 Å; angles 90.00, 90.00, 90.00 degrees
Last column: magnetic moment on the atom in μB.
Fractional coordinates of all 5 atoms:
Ru 0.000 0.500 0.000  1.77
Ru 0.000 0.000 0.500  1.77
Ru 0.500 0.000 0.000  1.77
Ga 0.000 0.000 0.000  -0.11
Rb 0.500 0.500 0.500  0.02



# 4
VASP calculation (meta-GGA SCAN) on a crystal of RbGaS2 relaxed with PBEsol.

Output
Its space-group type is No. 15. Its total energy is -1.122 Ry per atom. The uncorrected formation energy is -1.1748 eV/atom.

Cell lengths 5.877, 6.768, 6.768 Å; angles 112.41, 104.17, 104.17 degrees
Fractional coordinates of all 8 atoms:
S 0.385 0.920 0.705
S 0.115 0.295 0.080
S 0.885 0.705 0.920
S 0.615 0.080 0.295
Ga 0.750 0.006 0.994
Ga 0.250 0.994 0.006
Rb 0.250 0.361 0.639
Rb 0.750 0.639 0.361



# 5
VASP calculation (meta-GGA SCAN) on a crystal of RbGaS2 relaxed with PBEsol.

Output
Its space-group type is No. 122. Its total energy is -1.120 Ry per atom. The uncorrected formation energy is -1.1501 eV/atom.

Cell lengths 6.500, 6.500, 6.500 Å; angles 100.28, 114.26, 114.26 degrees
Fractional coordinates of all 8 atoms:
S 0.894 0.519 0.125
S 0.106 0.231 0.625
S 0.394 0.875 0.769
S 0.606 0.375 0.481
Ga 0.500 0.250 0.750
Ga 0.000 0.500 0.500
Rb 0.500 0.750 0.250
Rb 0.000 0.000 0.000



# 6
VASP calculation (meta-GGA SCAN) on a crystal of Rb2GaSb relaxed with PBEsol.

Output
Its space-group type is No. 225. Its total energy is -1.749 Ry per atom. The uncorrected formation energy is -0.0245 eV/atom.

Cell lengths 5.883, 5.883, 5.883 Å; angles 60.00, 60.00, 60.00 degrees
Fractional coordinates of all 4 atoms:
Sb 0.500 0.500 0.500
Ga 0.000 0.000 0.000
Rb 0.250 0.250 0.250
Rb 0.750 0.750 0.750



# 7
VASP calculation (meta-GGA SCAN) on a crystal of RbGaSb3 relaxed with PBEsol.

Output
Its space-group type is No. 221. Its total energy is -2.078 Ry per atom. The uncorrected formation energy is 1.4972 eV/atom.

Cell lengths 5.872, 5.872, 5.872 Å; angles 90.00, 90.00, 90.00 degrees
Fractional coordinates of all 5 atoms:
Sb 0.000 0.500 0.000
Sb 0.000 0.000 0.500
Sb 0.500 0.000 0.000
Ga 0.500 0.500 0.500
Rb 0.000 0.000 0.000



# 8
VASP calculation (meta-GGA SCAN) on a crystal of RbSc2TiGa relaxed with PBEsol.

Output
Its space-group type is No. 123. Its total energy is -1.162 Ry per atom. As for the formation energy: 11.828 kcal/mol of atoms.

Cell lengths 5.087, 5.286, 5.286 Å; angles 90.00, 90.00, 90.00 degrees
Last column: magnetic moment on the atom in μB.
Fractional coordinates of all 5 atoms:
Sc 0.000 0.000 0.500  0.36
Sc 0.000 0.500 0.000  0.36
Ga 0.000 0.000 0.000  0.00
Rb 0.500 0.500 0.500  0.07
Ti 0.500 0.000 0.000  1.73



Please write out number 4 again, unchanged.
VASP calculation (meta-GGA SCAN) on a crystal of RbGaS2 relaxed with PBEsol.

Output
Its space-group type is No. 15. Its total energy is -1.122 Ry per atom. The uncorrected formation energy is -1.1748 eV/atom.

Cell lengths 5.877, 6.768, 6.768 Å; angles 112.41, 104.17, 104.17 degrees
Fractional coordinates of all 8 atoms:
S 0.385 0.920 0.705
S 0.115 0.295 0.080
S 0.885 0.705 0.920
S 0.615 0.080 0.295
Ga 0.750 0.006 0.994
Ga 0.250 0.994 0.006
Rb 0.250 0.361 0.639
Rb 0.750 0.639 0.361



Repeat the third record exactly.
VASP calculation (meta-GGA SCAN) on a crystal of RbGaRu3 relaxed with PBEsol.

Output
Its space-group type is No. 221. Its total energy is -1.974 Ry per atom. As for the formation energy: 33.580 kcal/mol of atoms.

Cell lengths 4.687, 4.687, 4.687 Å; angles 90.00, 90.00, 90.00 degrees
Last column: magnetic moment on the atom in μB.
Fractional coordinates of all 5 atoms:
Ru 0.000 0.500 0.000  1.77
Ru 0.000 0.000 0.500  1.77
Ru 0.500 0.000 0.000  1.77
Ga 0.000 0.000 0.000  -0.11
Rb 0.500 0.500 0.500  0.02